Material: CsIr2W
Method: DFT, PBE
State: relaxed

Unit cell a=7.450 b=7.450 c=6.609 alpha=55.69 beta=55.69 gamma=90.00
Positions (direct):
Cs: 0.500 0.500 0.000
W: 0.750 0.250 0.500
Ir: 0.375 0.282 0.750
Cs: 0.250 0.750 0.500
Ir: 0.875 0.968 0.750
W: 0.000 0.000 0.000
Ir: 0.032 0.625 0.250
Ir: 0.718 0.125 0.250

E_form (eV/atom): 1.125
Crystal system: tetragonal



Material: TiINO2
Method: DFT, PBE
State: relaxed

Unit cell a=3.963 b=3.963 c=4.165 alpha=90.00 beta=90.00 gamma=90.00
Positions (direct):
Ti: 0.500 0.500 0.500
I: 0.000 0.000 0.500
O: 0.000 0.500 0.000
N: 0.000 0.000 0.000
O: 0.500 0.000 0.000

Raw formation energy (eV/atom): 0.880
Crystal system: tetragonal



Material: MgH3Rh3
Method: DFT, PBE
State: relaxed

Unit cell a=4.006 b=4.006 c=4.006 alpha=90.00 beta=90.00 gamma=90.00
Positions (direct):
Rh: 0.000 0.500 0.000
H: 0.500 0.000 0.500
H: 0.000 0.500 0.500
Rh: 0.000 0.000 0.500
Mg: 0.500 0.500 0.500
Rh: 0.500 0.000 0.000
H: 0.500 0.500 0.000

Electronic total energy (eV/atom): -4.97
Crystal system: cubic